VASP calculation (GGA-PBE) on a relaxed structure of ErTi2Mn.

Summary:
- Energy of formation: 2.5 kJ per mole of atoms
- Total energy: -29.418 eV per cell
- Crystal system: tetragonal

a = 3.063 Å, b = 3.063 Å, c = 7.703 Å
α = 90.00°, β = 90.00°, γ = 90.00°
Sites, in units of the cell vectors:
Ti 0.000 0.000 0.179
Ti 0.000 0.000 0.821
Mn 0.500 0.500 0.000
Er 0.500 0.500 0.500